Record 1
# ScAgCl, optimized geometry, DFT GGA-PBE
# **Theoretical density**: 4.4 g/cm3
# **N(E_F)**: 0.714 states/eV per atom
# **Offset from the most stable computed form**: 0.000 eV/atom
# **Formation energy (no corrections)**: -75.94 kJ per mole of atoms
data_ScAgCl
_chemical_formula_sum 'Sc1 Ag1 Cl1'
_space_group_name_H-M_alt 'P 3 m 1'
_space_group_IT_number 156
_cell_length_a 3.4332
_cell_length_b 3.4332
_cell_length_c 7.0291
_cell_angle_alpha 90.00
_cell_angle_beta 90.00
_cell_angle_gamma 120.00
loop_
_space_group_symop_operation_xyz
'x,y,z'
'-y,x-y,z'
'-x+y,-x,z'
'-y,-x,z'
'-x+y,y,z'
'x,x-y,z'
loop_
_atom_site_label
_atom_site_type_symbol
_atom_site_fract_x
_atom_site_fract_y
_atom_site_fract_z
_atom_site_occupancy
Sc1 Sc 0.0000 0.0000 0.0000 1
Ag1 Ag 0.6667 0.3333 0.2943 1
Cl1 Cl 0.3333 0.6667 0.7641 1

Record 2
# ScAgCl2, optimized geometry, DFT GGA-PBE
# **Theoretical density**: 3.0 g/cm3
# **N(E_F)**: 0.284 states/eV per atom
# **Offset from the most stable computed form**: 0.080 eV/atom
# **Formation energy (no corrections)**: -102.18 kJ per mole of atoms
data_ScAgCl2
_chemical_formula_sum 'Sc1 Ag1 Cl2'
_space_group_name_H-M_alt 'P 1 2/m 1'
_space_group_IT_number 10
_cell_length_a 5.8152
_cell_length_b 3.5000
_cell_length_c 6.7496
_cell_angle_alpha 90.00
_cell_angle_beta 115.42
_cell_angle_gamma 90.00
loop_
_space_group_symop_operation_xyz
'x,y,z'
'-x,-y,-z'
'-x,y,-z'
'x,-y,z'
loop_
_atom_site_label
_atom_site_type_symbol
_atom_site_fract_x
_atom_site_fract_y
_atom_site_fract_z
_atom_site_occupancy
Sc1 Sc 0.0000 0.0000 0.0000 1
Ag1 Ag 0.5000 0.0000 0.0000 1
Cl1 Cl 0.1438 0.5000 0.2874 1

Record 3
# ScAgCl2, optimized geometry, DFT GGA-PBE
# **Theoretical density**: 3.4 g/cm3
# **N(E_F)**: 0.796 states/eV per atom
# **Offset from the most stable computed form**: 0.232 eV/atom
# **Formation energy (no corrections)**: -87.58 kJ per mole of atoms
data_ScAgCl2
_chemical_formula_sum 'Sc2 Ag2 Cl4'
_space_group_name_H-M_alt 'C m m m'
_space_group_IT_number 65
_space_group_name_Hall '-C 2 2'
_cell_length_a 3.4097
_cell_length_b 5.8878
_cell_length_c 10.9005
_cell_angle_alpha 90.00
_cell_angle_beta 90.00
_cell_angle_gamma 90.00
loop_
_atom_site_label
_atom_site_type_symbol
_atom_site_fract_x
_atom_site_fract_y
_atom_site_fract_z
_atom_site_occupancy
Sc1 Sc 0.0000 0.0000 0.0000 1
Ag1 Ag 0.0000 0.0000 0.5000 1
Cl1 Cl 0.0000 0.5000 0.1669 1

Record 4
# ScAgCl2, optimized geometry, DFT GGA-PBE
# **Theoretical density**: 3.3 g/cm3
# **N(E_F)**: 0.369 states/eV per atom
# **Offset from the most stable computed form**: 0.039 eV/atom
# **Formation energy (no corrections)**: -106.14 kJ per mole of atoms
data_ScAgCl2
_chemical_formula_sum 'Sc2 Ag2 Cl4'
_space_group_name_H-M_alt 'I m m m'
_space_group_IT_number 71
_space_group_name_Hall '-I 2 2'
_cell_length_a 3.3304
_cell_length_b 5.2930
_cell_length_c 12.6365
_cell_angle_alpha 90.00
_cell_angle_beta 90.00
_cell_angle_gamma 90.00
loop_
_atom_site_label
_atom_site_type_symbol
_atom_site_fract_x
_atom_site_fract_y
_atom_site_fract_z
_atom_site_occupancy
Sc1 Sc 0.0000 0.0000 0.0000 1
Ag1 Ag 0.0000 0.0000 0.5000 1
Cl1 Cl 0.0000 0.5000 0.3537 1

Record 5
# ScAgCl2, optimized geometry, DFT GGA-PBE
# **Theoretical density**: 4.5 g/cm3
# **Offset from the most stable computed form**: 0.645 eV/atom
# **Formation energy (no corrections)**: -47.66 kJ per mole of atoms
data_ScAgCl2
_chemical_formula_sum 'Sc4 Ag4 Cl8'
_space_group_name_H-M_alt 'F -4 3 m'
_space_group_IT_number 216
_space_group_name_Hall 'F -4 2 3'
_cell_length_a 6.8938
_cell_length_b 6.8938
_cell_length_c 6.8938
_cell_angle_alpha 90.00
_cell_angle_beta 90.00
_cell_angle_gamma 90.00
loop_
_atom_site_label
_atom_site_type_symbol
_atom_site_fract_x
_atom_site_fract_y
_atom_site_fract_z
_atom_site_occupancy
Sc1 Sc 0.0000 0.0000 0.0000 1
Ag1 Ag 0.2500 0.2500 0.2500 1
Cl1 Cl 0.0000 0.0000 0.5000 1
Cl2 Cl 0.2500 0.2500 0.7500 1

Record 6
# ScAgCl2, optimized geometry, DFT GGA-PBE
# **Theoretical density**: 4.3 g/cm3
# **N(E_F)**: 0.666 states/eV per atom
# **Offset from the most stable computed form**: 0.450 eV/atom
# **Formation energy (no corrections)**: -66.53 kJ per mole of atoms
data_ScAgCl2
_chemical_formula_sum 'Sc2 Ag2 Cl4'
_space_group_name_H-M_alt 'C 1 2/m 1'
_space_group_IT_number 12
_cell_length_a 6.5455
_cell_length_b 8.5414
_cell_length_c 3.4401
_cell_angle_alpha 90.00
_cell_angle_beta 117.13
_cell_angle_gamma 90.00
loop_
_space_group_symop_operation_xyz
'x,y,z'
'-x,-y,-z'
'-x,y,-z'
'x,-y,z'
'x+1/2,y+1/2,z'
'-x+1/2,-y+1/2,-z'
'-x+1/2,y+1/2,-z'
'x+1/2,-y+1/2,z'
loop_
_atom_site_label
_atom_site_type_symbol
_atom_site_fract_x
_atom_site_fract_y
_atom_site_fract_z
_atom_site_occupancy
Sc1 Sc 0.0000 0.0000 0.0000 1
Ag1 Ag 0.0000 0.5000 0.0000 1
Cl1 Cl 0.2500 0.2500 0.0000 1

Which value of formation energy (no corrections) does entry 5 give?
-47.66 kJ per mole of atoms

Which value of theoretical density does entry 6 give?
4.3 g/cm3

Which of these has the lowest theoretical density?
number 2

Which value of theoretical density does entry 6 give?
4.3 g/cm3